Version a
TbPr4Dy4 | PBE-GGA | relaxed

abc: 5.683 6.840 9.015
angles: 112.24 108.30 90.02
Space group P-1 (No. 2)
One atom of each set of equivalent atoms:
Tb (0.000, 0.000, 0.000) (multiplicity 1)
Pr (0.219, 0.285, 0.438) (multiplicity 2)
Pr (0.366, 0.043, 0.734) (multiplicity 2)
Dy (0.123, 0.670, 0.245) (multiplicity 2)
Dy (0.428, 0.625, 0.857) (multiplicity 2)

For the spin magnetization, the calculation gives 0.00 μB/atom.

---

Version b
TbPr4Dy4 | PBE-GGA | relaxed

abc: 10.873 10.873 5.108
angles: 90.00 90.00 90.00
Space group I4/mmm (No. 139)
One atom of each set of equivalent atoms:
Tb (0.000, 0.000, 0.000) (multiplicity 2)
Pr (0.167, 0.167, 0.500) (multiplicity 8)
Dy (0.000, 0.335, 0.000) (multiplicity 8)

For the spin magnetization, the calculation gives 0.00 μB/atom.

---

Verdict on stability: version b comes out on top.

---

Version a
Tb2Pr3Dy3 | PBE-GGA | relaxed

abc: 16.426 5.783 6.062
angles: 90.00 110.64 90.00
Space group C2/m (No. 12)
One atom of each set of equivalent atoms:
Tb (0.250, 0.000, 0.181) (multiplicity 4)
Pr (0.000, 0.500, 0.500) (multiplicity 2)
Pr (0.135, 0.500, 0.196) (multiplicity 4)
Dy (0.000, 0.000, 0.000) (multiplicity 2)
Dy (0.132, 0.000, 0.581) (multiplicity 4)

For the spin magnetization, the calculation gives 0.00 μB/atom.

---

Version b
Tb2Pr3Dy3 | PBE-GGA | relaxed

abc: 5.095 5.112 20.449
angles: 90.00 90.00 90.00
Space group Immm (No. 71)
One atom of each set of equivalent atoms:
Tb (0.000, 0.000, 0.249) (multiplicity 4)
Pr (0.000, 0.000, 0.000) (multiplicity 2)
Pr (0.000, 0.500, 0.125) (multiplicity 4)
Dy (0.000, 0.000, 0.500) (multiplicity 2)
Dy (0.000, 0.500, 0.373) (multiplicity 4)

For the spin magnetization, the calculation gives 0.00 μB/atom.

---

Verdict on stability: version b comes out on top.

---

Version a
Tb3Pr2Dy3 | PBE-GGA | relaxed

abc: 3.605 17.431 17.066
angles: 90.00 90.00 90.00
Space group Cmcm (No. 63)
One atom of each set of equivalent atoms:
Tb (0.000, 0.106, 0.250) (multiplicity 4)
Tb (0.000, 0.146, 0.010) (multiplicity 8)
Pr (0.000, 0.279, 0.151) (multiplicity 8)
Dy (0.000, 0.081, 0.750) (multiplicity 4)
Dy (0.000, 0.496, 0.101) (multiplicity 8)

For the spin magnetization, the calculation gives 0.00 μB/atom.

---

Version b
Tb3Pr2Dy3 | PBE-GGA | relaxed

abc: 5.089 5.090 20.239
angles: 90.00 90.00 90.00
Space group Immm (No. 71)
One atom of each set of equivalent atoms:
Tb (0.000, 0.000, 0.000) (multiplicity 2)
Tb (0.000, 0.500, 0.378) (multiplicity 4)
Pr (0.000, 0.000, 0.250) (multiplicity 4)
Dy (0.000, 0.000, 0.500) (multiplicity 2)
Dy (0.000, 0.500, 0.123) (multiplicity 4)

For the spin magnetization, the calculation gives 0.00 μB/atom.

---

Verdict on stability: version b comes out on top.

---

Version a
Tb5Pr2Dy4 | PBE-GGA | relaxed

abc: 23.956 3.469 8.777
angles: 90.00 96.70 90.00
Space group C2/m (No. 12)
One atom of each set of equivalent atoms:
Tb (0.000, 0.000, 0.000) (multiplicity 2)
Tb (0.141, 0.500, 0.123) (multiplicity 4)
Tb (0.234, 0.500, 0.825) (multiplicity 4)
Pr (0.092, 0.500, 0.741) (multiplicity 4)
Dy (0.046, 0.500, 0.361) (multiplicity 4)
Dy (0.178, 0.000, 0.472) (multiplicity 4)

For the spin magnetization, the calculation gives 0.00 μB/atom.

---

Version b
Tb5Pr2Dy4 | PBE-GGA | relaxed

abc: 16.585 6.687 6.714
angles: 90.00 100.47 90.00
Space group C2/m (No. 12)
One atom of each set of equivalent atoms:
Tb (0.000, 0.000, 0.000) (multiplicity 2)
Tb (0.088, 0.263, 0.406) (multiplicity 8)
Pr (0.200, 0.000, 0.798) (multiplicity 4)
Dy (0.088, 0.500, 0.907) (multiplicity 4)
Dy (0.244, 0.000, 0.306) (multiplicity 4)

For the spin magnetization, the calculation gives 0.00 μB/atom.

---

Verdict on stability: version a comes out on top.

---

Version a
Tb12PrDy7 | PBE-GGA | relaxed

abc: 12.8531 12.8531 13.7000
angles: 90.00 90.00 120.00
Space group R-3 (No. 148, hexagonal axes)
One atom of each set of equivalent atoms:
Tb (0.0035, 0.5675, 0.2470) (multiplicity 18)
Tb (0.0679, 0.8690, 0.3444) (multiplicity 18)
Pr (0.0000, 0.0000, 0.0000) (multiplicity 3)
Dy (0.0000, 0.0000, 0.5000) (multiplicity 3)
Dy (0.0679, 0.2020, 0.8509) (multiplicity 18)

For the spin magnetization, the calculation gives 0.00 μB/atom.

---

Version b
Tb12PrDy7 | PBE-GGA | relaxed

abc: 11.307 11.307 11.307
angles: 90.00 90.00 90.00
Space group Im-3 (No. 204)
One atom of each set of equivalent atoms:
Tb (0.000, 0.254, 0.255) (multiplicity 24)
Pr (0.000, 0.000, 0.000) (multiplicity 2)
Dy (0.000, 0.000, 0.500) (multiplicity 6)
Dy (0.250, 0.250, 0.250) (multiplicity 8)

For the spin magnetization, the calculation gives 0.00 μB/atom.

---

Verdict on stability: version a comes out on top.

---

Version a
TbPr4Dy | PBE-GGA | relaxed

abc: 11.800 11.805 3.516
angles: 90.00 90.00 90.00
Space group Cmmm (No. 65)
One atom of each set of equivalent atoms:
Tb (0.000, 0.000, 0.000) (multiplicity 2)
Pr (0.000, 0.261, 0.000) (multiplicity 4)
Pr (0.239, 0.000, 0.500) (multiplicity 4)
Dy (0.000, 0.500, 0.500) (multiplicity 2)

For the spin magnetization, the calculation gives 0.00 μB/atom.

---

Version b
TbPr4Dy | PBE-GGA | relaxed

abc: 5.193 15.504 5.191
angles: 90.00 90.00 90.00
Space group Cmmm (No. 65)
One atom of each set of equivalent atoms:
Tb (0.000, 0.000, 0.000) (multiplicity 2)
Pr (0.000, 0.165, 0.500) (multiplicity 4)
Pr (0.000, 0.335, 0.000) (multiplicity 4)
Dy (0.000, 0.500, 0.500) (multiplicity 2)

For the spin magnetization, the calculation gives 0.00 μB/atom.

---

Verdict on stability: version b comes out on top.

---

Version a
Tb12Pr7Dy | PBE-GGA | relaxed

abc: 11.405 11.405 11.405
angles: 90.00 90.00 90.00
Space group Im-3m (No. 229)
One atom of each set of equivalent atoms:
Tb (0.000, 0.246, 0.246) (multiplicity 24)
Pr (0.000, 0.000, 0.500) (multiplicity 6)
Pr (0.250, 0.250, 0.250) (multiplicity 8)
Dy (0.000, 0.000, 0.000) (multiplicity 2)

For the spin magnetization, the calculation gives 0.00 μB/atom.

---

Version b
Tb12Pr7Dy | PBE-GGA | relaxed

abc: 12.0875 12.0875 16.3294
angles: 90.00 90.00 120.00
Space group R-3 (No. 148, hexagonal axes)
One atom of each set of equivalent atoms:
Tb (0.0270, 0.4495, 0.2227) (multiplicity 18)
Tb (0.0524, 0.5861, 0.5825) (multiplicity 18)
Pr (0.0000, 0.0000, 0.0000) (multiplicity 3)
Pr (0.0565, 0.1869, 0.2881) (multiplicity 18)
Dy (0.0000, 0.0000, 0.5000) (multiplicity 3)

For the spin magnetization, the calculation gives 0.00 μB/atom.

---

Verdict on stability: version b comes out on top.

---

Version a
Tb4PrDy5 | PBE-GGA | relaxed

abc: 17.227 3.544 10.983
angles: 90.00 90.16 90.00
Space group C2/m (No. 12)
One atom of each set of equivalent atoms:
Tb (0.027, 0.000, 0.247) (multiplicity 4)
Tb (0.152, 0.500, 0.750) (multiplicity 4)
Pr (0.000, 0.500, 0.500) (multiplicity 2)
Dy (0.000, 0.500, 0.000) (multiplicity 2)
Dy (0.173, 0.000, 0.051) (multiplicity 4)
Dy (0.175, 0.000, 0.445) (multiplicity 4)

For the spin magnetization, the calculation gives 0.00 μB/atom.

---

Version b
Tb4PrDy5 | PBE-GGA | relaxed

abc: 10.242 10.242 6.277
angles: 90.00 90.00 90.00
Space group I4 (No. 79)
One atom of each set of equivalent atoms:
Tb (0.049, 0.350, 0.000) (multiplicity 8)
Pr (0.000, 0.000, 0.233) (multiplicity 2)
Dy (0.000, 0.000, 0.775) (multiplicity 2)
Dy (0.147, 0.233, 0.505) (multiplicity 8)

For the spin magnetization, the calculation gives 0.00 μB/atom.

---

Verdict on stability: version a comes out on top.